VASP calculation (PBE) on a relaxed structure of Th5Fe2Sn2.

Calculated values
Electronic total energy in eV for the cell shown: -254.1
Mass density in g cm⁻³: 9.33
Calculated formation energy in kJ/mol of atoms: -16.1
Magnetic moment in μB per cell: 0.00
N(E_F) in states/eV/atom: 0.71

Lattice parameters (Å, degrees): 21.1669 7.1713 7.0819 90.00 90.00 90.00
With the nearest neighbours (Å) after each atom.
Space group Ima2 (No. 46)
One atom of each set of equivalent atoms:
Th 0.0032 0.2488 0.0000 x8  2 Fe 2.51-2.53
Th 0.1346 0.5318 0.2476 x8  1 Fe 2.51
Th 0.2500 0.1477 0.3877 x4  2 Fe 2.40-2.57
Fe 0.0000 0.0000 0.7468 x4  4 Th 2.51-2.53
Fe 0.2500 0.0401 0.7090 x4  4 Th 2.40-2.57
Sn 0.1115 0.5006 0.7427 x8  8 Th 3.28-3.62